Record 1
Compound: BaSr2Cd
Source: Alexandria
Functional: meta-GGA SCAN
Structure: single point on PBEsol structure

a b c (Å): 4.053 4.053 10.491
angles (deg): 90.00 90.00 90.00
Element x y z (fractional)
Sr: 0.000 0.000 0.183
Sr: 0.000 0.000 0.817
Ba: 0.500 0.500 0.500
Cd: 0.500 0.500 0.000

Results
Raw total energy   -28.818 eV/atom
Formation enthalpy at 0 K   -0.1895 eV/atom
Space group   P4/mmm, No. 123

Record 2
Compound: BaSr2Cd
Source: Alexandria
Functional: meta-GGA SCAN
Structure: single point on PBEsol structure

a b c (Å): 4.169 6.302 7.622
angles (deg): 114.42 105.87 90.00
Element x y z (fractional)
Sr: 0.699 0.699 0.398
Sr: 0.301 0.301 0.602
Ba: 0.500 0.000 0.000
Cd: 0.000 0.500 0.000

Results
Raw total energy   -28.804 eV/atom
Formation enthalpy at 0 K   -0.1748 eV/atom
Space group   Immm, No. 71